A relaxed structure of Tl4InSb. Source: the Alexandria database, functional PBE.

The uncorrected formation energy is 0.35 eV/f.u. For the relative energy among the computed polymorphs, the calculation gives 2 meV per atom. Its symmetry is No. 36.

The structure in POSCAR format:
```
Tl4InSb
1.0
2.6163 -11.1230 0.0000
2.6163 11.1230 0.0000
0.0000 0.0000 6.7651
Tl In Sb
8 2 2
Direct
0.0452 0.9548 0.5000 Tl
0.1814 0.8186 0.3160 Tl
0.2387 0.7613 0.7861 Tl
0.4504 0.5496 0.6734 Tl
0.5496 0.4504 0.1734 Tl
0.7613 0.2387 0.2861 Tl
0.8186 0.1814 0.8160 Tl
0.9548 0.0452 0.0000 Tl
0.3565 0.6435 0.1664 In
0.6435 0.3565 0.6664 In
0.1026 0.8974 0.9326 Sb
0.8974 0.1026 0.4326 Sb
```

A relaxed structure of B6HRh12. Source: the Alexandria database, functional PBE.

Its uncorrected energy is -135.43 eV per formula unit. Its symmetry is No. 148.

The structure in POSCAR format:
```
B6HRh12
1.0
4.6717 2.6972 2.9465
-4.6717 2.6972 2.9465
0.0000 -5.3944 2.9465
B H Rh
6 1 12
Direct
0.1211 0.6256 0.8103 B
0.1897 0.8789 0.3744 B
0.3744 0.1897 0.8789 B
0.6256 0.8103 0.1211 B
0.8103 0.1211 0.6256 B
0.8789 0.3744 0.1897 B
0.5000 0.5000 0.5000 H
0.0715 0.9133 0.6826 Rh
0.0867 0.3174 0.9285 Rh
0.1844 0.5443 0.4082 Rh
0.3174 0.9285 0.0867 Rh
0.4082 0.1844 0.5443 Rh
0.4557 0.5918 0.8156 Rh
0.5443 0.4082 0.1844 Rh
0.5918 0.8156 0.4557 Rh
0.6826 0.0715 0.9133 Rh
0.8156 0.4557 0.5918 Rh
0.9133 0.6826 0.0715 Rh
0.9285 0.0867 0.3174 Rh
```

A relaxed structure of NdDy2Hg4. Source: the Alexandria database, functional PBE.

For the relative energy among the computed polymorphs, the calculation gives 0 meV per atom. The calculation puts the formation energy at -0.326 eV/atom. Its symmetry is No. 166.

The structure in POSCAR format:
```
NdDy2Hg4
1.0
2.5574 1.4765 8.8435
-2.5574 1.4765 8.8435
0.0000 -2.9530 8.8435
Nd Dy Hg
1 2 4
Direct
0.0000 0.0000 0.0000 Nd
0.2423 0.2423 0.2423 Dy
0.7577 0.7577 0.7577 Dy
0.1273 0.1273 0.1273 Hg
0.3824 0.3824 0.3824 Hg
0.6176 0.6176 0.6176 Hg
0.8727 0.8727 0.8727 Hg
```

A relaxed structure of K2Li2P. Source: the Alexandria database, functional PBE.

For the relative energy among the computed polymorphs, the calculation gives 240 meV per atom. The calculation puts the formation energy at -0.161 eV/atom. Its symmetry is No. 127.

The structure in POSCAR format:
```
K2Li2P
1.0
6.9531 0.0000 0.0000
0.0000 6.9531 0.0000
0.0000 0.0000 5.7668
K Li P
4 4 2
Direct
0.2058 0.2942 0.0000 K
0.2942 0.7942 0.0000 K
0.7058 0.2058 0.0000 K
0.7942 0.7058 0.0000 K
0.1863 0.6863 0.5000 Li
0.3137 0.1863 0.5000 Li
0.6863 0.8137 0.5000 Li
0.8137 0.3137 0.5000 Li
0.0000 0.0000 0.5000 P
0.5000 0.5000 0.5000 P
```